First-principles (PBE-GGA) data for crystalline NaAgClF at its relaxed geometry, as listed in the Alexandria database.

Properties
Final energy ... -52.5 eV for the cell shown
DOS at the Fermi energy ... 0.000 states/eV/atom
Formation energy (no corrections) ... -30.183 kcal/mol of atoms
E above lowest polymorph ... 85 meV per atom

a = 6.4587 Å, b = 6.4587 Å, c = 6.4587 Å
α = 90.00°, β = 90.00°, γ = 90.00°
With the nearest neighbours (Å) after each atom.
Space group F-43m (No. 216)
Unique sites:
1 Na 0.0000 0.0000 0.0000 (multiplicity 4)  4 Cl 2.80, 4 F 2.80
2 Ag 0.0000 0.0000 0.5000 (multiplicity 4)  4 F 2.80, 4 Cl 2.80
3 Cl 0.2500 0.2500 0.7500 (multiplicity 4)  4 Ag 2.80, 4 Na 2.80
4 F 0.2500 0.2500 0.2500 (multiplicity 4)  4 Na 2.80, 4 Ag 2.80

First-principles (PBE-GGA) data for crystalline Na2AgClF2 at its relaxed geometry, as listed in the Alexandria database.

Properties
Final energy ... -44.3 eV for the cell shown
DOS at the Fermi energy ... 0.000 states/eV/atom
Formation energy (no corrections) ... -42.506 kcal/mol of atoms

a = 4.2737 Å, b = 4.2737 Å, c = 11.9626 Å
α = 90.00°, β = 90.00°, γ = 90.00°
With the nearest neighbours (Å) after each atom.
Space group I4/mmm (No. 139)
Unique sites:
1 Na 0.0000 0.5000 0.2500 (multiplicity 4)  4 F 2.22
2 Ag 0.0000 0.0000 0.0000 (multiplicity 2)  2 F 2.38
3 Cl 0.0000 0.0000 0.5000 (multiplicity 2)  4 Ag 3.02
4 F 0.0000 0.0000 0.1991 (multiplicity 4)  4 Na 2.22, 1 Ag 2.38

First-principles (PBE-GGA) data for crystalline Na2AgCl2F2 at its relaxed geometry, as listed in the Alexandria database.

Properties
Final energy ... -47.2 eV for the cell shown
DOS at the Fermi energy ... 0.535 states/eV/atom
Formation energy (no corrections) ... -35.188 kcal/mol of atoms

a = 4.3996 Å, b = 4.3996 Å, c = 14.4861 Å
α = 90.00°, β = 90.00°, γ = 90.00°
With the nearest neighbours (Å) after each atom.
Space group I4/mmm (No. 139)
Unique sites:
1 Na 0.0000 0.0000 0.1277 (multiplicity 4)  4 F 2.87, 5 Cl 2.88-3.18
2 Ag 0.0000 0.0000 0.5000 (multiplicity 2)  4 F 2.20
3 Cl 0.0000 0.0000 0.3265 (multiplicity 4)  1 Ag 2.51
4 F 0.0000 0.5000 0.0000 (multiplicity 4)  2 Ag 2.20

First-principles (PBE-GGA) data for crystalline NaAgClF at its relaxed geometry, as listed in the Alexandria database.

Properties
Final energy ... -13.5 eV for the cell shown
Formation energy (no corrections) ... -32.146 kcal/mol of atoms
E above lowest polymorph ... 0 meV per atom

a = 3.3718 Å, b = 3.5248 Å, c = 6.9455 Å
α = 90.00°, β = 90.00°, γ = 90.00°
With the nearest neighbours (Å) after each atom.
Space group Pmm2 (No. 25)
Unique sites:
1 Na 0.0000 0.0000 0.0000 (multiplicity 1)  4 F 2.53, 2 Cl 2.80
2 Ag 0.5000 0.5000 0.4181 (multiplicity 1)  1 F 2.22
3 Cl 0.5000 0.0000 0.6776 (multiplicity 1)  2 Ag 2.52, 2 Na 2.80
4 F 0.5000 0.5000 0.0980 (multiplicity 1)  1 Ag 2.22

First-principles (PBE-GGA) data for crystalline NbAg3Cl2F6 at its relaxed geometry, as listed in the Alexandria database.

Properties
Final energy ... -111.7 eV for the cell shown
DOS at the Fermi energy ... 0.000 states/eV/atom
Formation energy (no corrections) ... -42.894 kcal/mol of atoms

a = 14.0462 Å, b = 7.2626 Å, c = 4.9392 Å
α = 90.00°, β = 98.16°, γ = 90.00°
With the nearest neighbours (Å) after each atom.
Space group C2/m (No. 12)
Unique sites:
1 Nb 0.0000 0.0000 0.0000 (multiplicity 2)  6 F 1.94
2 Ag 0.0000 0.5000 0.5000 (multiplicity 2)  2 Cl 2.53, 4 F 2.80
3 Ag 0.2500 0.2500 0.0000 (multiplicity 4)  2 Cl 2.46
4 Cl 0.1747 0.5000 0.7102 (multiplicity 4)  3 Ag 2.46-2.53
5 F 0.0630 0.1916 0.2347 (multiplicity 8)  1 Nb 1.94
6 F 0.1088 0.0000 0.7966 (multiplicity 4)  1 Nb 1.94

First-principles (PBE-GGA) data for crystalline NbAgClF at its relaxed geometry, as listed in the Alexandria database.

Properties
Final energy ... -40.4 eV for the cell shown
DOS at the Fermi energy ... 0.408 states/eV/atom
Formation energy (no corrections) ... -20.451 kcal/mol of atoms
E above lowest polymorph ... 21 meV per atom

a = 2.8522 Å, b = 5.2327 Å, c = 11.7797 Å
α = 90.00°, β = 90.00°, γ = 90.00°
With the nearest neighbours (Å) after each atom.
Space group Imm2 (No. 44)
Unique sites:
1 Nb 0.0000 0.0000 0.0000 (multiplicity 2)  2 F 2.17
2 Ag 0.0000 0.0000 0.5050 (multiplicity 2)  2 Ag 2.85, 4 Nb 2.98, 2 F 3.12
3 Cl 0.0000 0.5000 0.6704 (multiplicity 2)  2 Nb 2.46
4 F 0.0000 0.5000 0.3611 (multiplicity 2)  2 Nb 2.17

First-principles (PBE-GGA) data for crystalline NbAgClF at its relaxed geometry, as listed in the Alexandria database.

Properties
Final energy ... -40.5 eV for the cell shown
DOS at the Fermi energy ... 0.498 states/eV/atom
Formation energy (no corrections) ... -20.925 kcal/mol of atoms
E above lowest polymorph ... 0 meV per atom

a = 2.9490 Å, b = 5.0758 Å, c = 12.2066 Å
α = 90.00°, β = 90.00°, γ = 90.00°
With the nearest neighbours (Å) after each atom.
Space group Amm2 (No. 38)
Unique sites:
1 Nb 0.0000 0.0000 0.0000 (multiplicity 2)  1 F 1.90
2 Ag 0.5000 0.0000 0.4821 (multiplicity 2)  4 Nb 2.94, 2 Ag 2.95
3 Cl 0.5000 0.0000 0.1642 (multiplicity 2)  2 Nb 2.49
4 F 0.0000 0.0000 0.8442 (multiplicity 2)  1 Nb 1.90

First-principles (PBE-GGA) data for crystalline NbAgClF at its relaxed geometry, as listed in the Alexandria database.

Properties
Final energy ... -39.0 eV for the cell shown
DOS at the Fermi energy ... 0.394 states/eV/atom
Formation energy (no corrections) ... -16.452 kcal/mol of atoms
E above lowest polymorph ... 194 meV per atom

a = 9.2935 Å, b = 2.9939 Å, c = 5.0826 Å
α = 90.00°, β = 100.74°, γ = 90.00°
With the nearest neighbours (Å) after each atom.
Space group Cm (No. 8)
Unique sites:
1 Nb 0.0000 0.0000 0.0000 (multiplicity 2)  1 F 1.95
2 Ag 0.0883 0.5000 0.5173 (multiplicity 2)  1 F 2.41
3 Cl 0.2764 0.0000 0.1216 (multiplicity 2)  3 Nb 2.53-2.72
4 F 0.3493 0.5000 0.6757 (multiplicity 2)  1 Nb 1.95